Crystalline Nd8IrPd2 at its relaxed geometry. Source: the Alexandria database, functional PBE-GGA.

Unit cell a=8.5936 b=13.0775 c=6.4302 alpha=90.00 beta=112.13 gamma=90.00
Space group Cm (No. 8)
One atom of each set of equivalent atoms:
Nd: 0.0000 0.0000 0.0000 (multiplicity 2)
Nd: 0.0717 0.3697 0.7885 (multiplicity 4)
Nd: 0.1361 0.1302 0.5488 (multiplicity 4)
Nd: 0.2074 0.5000 0.3655 (multiplicity 2)
Nd: 0.3501 0.1957 0.1760 (multiplicity 4)
Ir: 0.3604 0.0000 0.3889 (multiplicity 2)
Pd: 0.3582 0.3132 0.6828 (multiplicity 4)

Properties
The calculation puts the distance to the lowest polymorph of the same formula at 0.079 eV per atom.

Crystalline Nd2IrPd at its relaxed geometry. Source: the Alexandria database, functional PBE-GGA.

Unit cell a=4.1917 b=4.1917 c=20.3673 alpha=90.00 beta=90.00 gamma=120.00
Space group R-3m (No. 166, hexagonal axes)
One atom of each set of equivalent atoms:
Nd: 0.0000 0.0000 0.2445 (multiplicity 6)
Ir: 0.0000 0.0000 0.5000 (multiplicity 3)
Pd: 0.0000 0.0000 0.0000 (multiplicity 3)

Properties
The calculation puts the distance to the lowest polymorph of the same formula at 0.158 eV per atom.

Crystalline Nd4Ir2Pd at its relaxed geometry. Source: the Alexandria database, functional PBE-GGA.

Unit cell a=12.6364 b=8.9630 c=8.9112 alpha=90.00 beta=134.82 gamma=90.00
Space group C2 (No. 5)
One atom of each set of equivalent atoms:
Nd: 0.0630 0.0000 0.3681 (multiplicity 4)
Nd: 0.0636 0.3752 0.2583 (multiplicity 4)
Nd: 0.1876 0.6242 0.7429 (multiplicity 4)
Nd: 0.1876 0.7510 0.1324 (multiplicity 4)
Ir: 0.0000 0.0676 0.0000 (multiplicity 2)
Ir: 0.0000 0.3080 0.5000 (multiplicity 2)
Ir: 0.1201 0.6877 0.3704 (multiplicity 4)
Pd: 0.2497 0.4375 0.1247 (multiplicity 4)

Properties
For the energy, the calculation gives -6.650 eV per atom.

Crystalline Nd8IrPd2 at its relaxed geometry. Source: the Alexandria database, functional PBE-GGA.

Unit cell a=17.9493 b=5.1931 c=6.9347 alpha=90.00 beta=100.80 gamma=90.00
Space group C2/m (No. 12)
One atom of each set of equivalent atoms:
Nd: 0.0329 0.0000 0.2850 (multiplicity 4)
Nd: 0.0868 0.5000 0.9340 (multiplicity 4)
Nd: 0.1633 0.5000 0.4691 (multiplicity 4)
Nd: 0.2019 0.0000 0.8317 (multiplicity 4)
Ir: 0.0000 0.5000 0.5000 (multiplicity 2)
Pd: 0.1962 0.0000 0.2422 (multiplicity 4)

Properties
The calculation puts the distance to the lowest polymorph of the same formula at 0.000 eV per atom.

Crystalline NdIrPd at its relaxed geometry. Source: the Alexandria database, functional PBE-GGA.

Unit cell a=4.0154 b=4.0154 c=15.0813 alpha=90.00 beta=90.00 gamma=120.00
Space group R3m (No. 160, hexagonal axes)
One atom of each set of equivalent atoms:
Nd: 0.0000 0.0000 0.0000 (multiplicity 3)
Ir: 0.0000 0.0000 0.7886 (multiplicity 3)
Pd: 0.0000 0.0000 0.2008 (multiplicity 3)

Properties
The calculation puts the distance to the lowest polymorph of the same formula at 0.683 eV per atom.

Crystalline Nd2Sb4Ir3Pd at its relaxed geometry. Source: the Alexandria database, functional PBE-GGA.

Unit cell a=4.6008 b=4.6008 c=10.4604 alpha=90.00 beta=90.00 gamma=90.00
Space group P-4m2 (No. 115)
One atom of each set of equivalent atoms:
Nd: 0.0000 0.5000 0.2438 (multiplicity 2)
Sb: 0.0000 0.0000 0.5000 (multiplicity 1)
Sb: 0.0000 0.5000 0.8679 (multiplicity 2)
Sb: 0.5000 0.5000 0.5000 (multiplicity 1)
Ir: 0.0000 0.0000 0.0000 (multiplicity 1)
Ir: 0.0000 0.5000 0.6213 (multiplicity 2)
Pd: 0.5000 0.5000 0.0000 (multiplicity 1)

Properties
For the energy, the calculation gives -6.441 eV per atom.

Crystalline Nd2Sb4IrPd3 at its relaxed geometry. Source: the Alexandria database, functional PBE-GGA.

Unit cell a=4.5611 b=4.5611 c=10.8985 alpha=90.00 beta=90.00 gamma=90.00
Space group P-4m2 (No. 115)
One atom of each set of equivalent atoms:
Nd: 0.0000 0.5000 0.2323 (multiplicity 2)
Sb: 0.0000 0.0000 0.5000 (multiplicity 1)
Sb: 0.0000 0.5000 0.8719 (multiplicity 2)
Sb: 0.5000 0.5000 0.5000 (multiplicity 1)
Ir: 0.5000 0.5000 0.0000 (multiplicity 1)
Pd: 0.0000 0.0000 0.0000 (multiplicity 1)
Pd: 0.0000 0.5000 0.6348 (multiplicity 2)

Properties
For the energy, the calculation gives -5.772 eV per atom.

Crystalline NdScIrPd at its relaxed geometry. Source: the Alexandria database, functional PBE-GGA.

Unit cell a=6.8732 b=6.8732 c=6.8732 alpha=90.00 beta=90.00 gamma=90.00
Space group F-43m (No. 216)
One atom of each set of equivalent atoms:
Nd: 0.0000 0.0000 0.0000 (multiplicity 4)
Sc: 0.0000 0.0000 0.5000 (multiplicity 4)
Ir: 0.2500 0.2500 0.2500 (multiplicity 4)
Pd: 0.2500 0.2500 0.7500 (multiplicity 4)

Properties
For the energy, the calculation gives -7.035 eV per atom.

Crystalline Nd2Si4Ir3Pd at its relaxed geometry. Source: the Alexandria database, functional PBE-GGA.

Unit cell a=4.2042 b=4.2042 c=9.9585 alpha=90.00 beta=90.00 gamma=90.00
Space group P-4m2 (No. 115)
One atom of each set of equivalent atoms:
Nd: 0.0000 0.5000 0.2411 (multiplicity 2)
Si: 0.0000 0.0000 0.0000 (multiplicity 1)
Si: 0.0000 0.5000 0.6344 (multiplicity 2)
Si: 0.5000 0.5000 0.0000 (multiplicity 1)
Ir: 0.0000 0.5000 0.8753 (multiplicity 2)
Ir: 0.5000 0.5000 0.5000 (multiplicity 1)
Pd: 0.0000 0.0000 0.5000 (multiplicity 1)

Properties
For the energy, the calculation gives -7.291 eV per atom.

Crystalline NdSi2IrPd2 at its relaxed geometry. Source: the Alexandria database, functional PBE-GGA.

Unit cell a=4.5732 b=4.5732 c=5.6599 alpha=90.00 beta=90.00 gamma=90.00
Space group P4/mmm (No. 123)
One atom of each set of equivalent atoms:
Nd: 0.0000 0.0000 0.0000 (multiplicity 1)
Si: 0.0000 0.5000 0.5000 (multiplicity 2)
Ir: 0.0000 0.0000 0.5000 (multiplicity 1)
Pd: 0.5000 0.5000 0.2468 (multiplicity 2)

Properties
For the energy, the calculation gives -6.265 eV per atom.

Crystalline NdSmIrPd at its relaxed geometry. Source: the Alexandria database, functional PBE-GGA.

Unit cell a=4.5036 b=3.8688 c=10.7820 alpha=90.00 beta=90.00 gamma=90.00
Space group Amm2 (No. 38)
One atom of each set of equivalent atoms:
Nd: 0.0000 0.0000 0.0000 (multiplicity 2)
Sm: 0.5000 0.0000 0.2770 (multiplicity 2)
Ir: 0.0000 0.0000 0.7276 (multiplicity 2)
Pd: 0.5000 0.0000 0.5563 (multiplicity 2)

Properties
The calculation puts the distance to the lowest polymorph of the same formula at 0.000 eV per atom.

Crystalline NdSmIrPd at its relaxed geometry. Source: the Alexandria database, functional PBE-GGA.

Unit cell a=7.1148 b=7.1148 c=7.1148 alpha=90.00 beta=90.00 gamma=90.00
Space group F-43m (No. 216)
One atom of each set of equivalent atoms:
Nd: 0.0000 0.0000 0.0000 (multiplicity 4)
Sm: 0.0000 0.0000 0.5000 (multiplicity 4)
Ir: 0.2500 0.2500 0.2500 (multiplicity 4)
Pd: 0.2500 0.2500 0.7500 (multiplicity 4)

Properties
The calculation puts the distance to the lowest polymorph of the same formula at 0.028 eV per atom.

Crystalline Nd2Sn4IrPd3 at its relaxed geometry. Source: the Alexandria database, functional PBE-GGA.

Unit cell a=4.5364 b=4.5364 c=10.9053 alpha=90.00 beta=90.00 gamma=90.00
Space group P-4m2 (No. 115)
One atom of each set of equivalent atoms:
Nd: 0.0000 0.5000 0.2394 (multiplicity 2)
Sn: 0.0000 0.0000 0.5000 (multiplicity 1)
Sn: 0.0000 0.5000 0.8721 (multiplicity 2)
Sn: 0.5000 0.5000 0.5000 (multiplicity 1)
Ir: 0.5000 0.5000 0.0000 (multiplicity 1)
Pd: 0.0000 0.0000 0.0000 (multiplicity 1)
Pd: 0.0000 0.5000 0.6343 (multiplicity 2)

Properties
For the energy, the calculation gives -5.694 eV per atom.

Crystalline SrNdIrPd at its relaxed geometry. Source: the Alexandria database, functional PBE-GGA.

Unit cell a=7.2163 b=7.2163 c=7.2163 alpha=90.00 beta=90.00 gamma=90.00
Space group F-43m (No. 216)
One atom of each set of equivalent atoms:
Sr: 0.0000 0.0000 0.0000 (multiplicity 4)
Nd: 0.0000 0.0000 0.5000 (multiplicity 4)
Ir: 0.2500 0.2500 0.2500 (multiplicity 4)
Pd: 0.2500 0.2500 0.7500 (multiplicity 4)

Properties
For the energy, the calculation gives -5.593 eV per atom.

Crystalline NdThIrPd at its relaxed geometry. Source: the Alexandria database, functional PBE-GGA.

Unit cell a=7.1819 b=7.1819 c=7.1819 alpha=90.00 beta=90.00 gamma=90.00
Space group F-43m (No. 216)
One atom of each set of equivalent atoms:
Nd: 0.0000 0.0000 0.0000 (multiplicity 4)
Th: 0.0000 0.0000 0.5000 (multiplicity 4)
Ir: 0.2500 0.2500 0.7500 (multiplicity 4)
Pd: 0.2500 0.2500 0.2500 (multiplicity 4)

Properties
The calculation puts the distance to the lowest polymorph of the same formula at 0.176 eV per atom.

Crystalline NdThIrPd at its relaxed geometry. Source: the Alexandria database, functional PBE-GGA.

Unit cell a=4.2313 b=3.9376 c=11.5808 alpha=90.00 beta=90.00 gamma=90.00
Space group Amm2 (No. 38)
One atom of each set of equivalent atoms:
Nd: 0.0000 0.0000 0.0000 (multiplicity 2)
Th: 0.5000 0.0000 0.2751 (multiplicity 2)
Ir: 0.0000 0.0000 0.7413 (multiplicity 2)
Pd: 0.5000 0.0000 0.5557 (multiplicity 2)

Properties
The calculation puts the distance to the lowest polymorph of the same formula at 0.000 eV per atom.

Crystalline NdYIrPd at its relaxed geometry. Source: the Alexandria database, functional PBE-GGA.

Unit cell a=7.0567 b=7.0567 c=7.0567 alpha=90.00 beta=90.00 gamma=90.00
Space group F-43m (No. 216)
One atom of each set of equivalent atoms:
Nd: 0.0000 0.0000 0.0000 (multiplicity 4)
Y: 0.0000 0.0000 0.5000 (multiplicity 4)
Ir: 0.2500 0.2500 0.7500 (multiplicity 4)
Pd: 0.2500 0.2500 0.2500 (multiplicity 4)

Properties
For the energy, the calculation gives -7.091 eV per atom.

Crystalline Pm12NdIr4 at its relaxed geometry. Source: the Alexandria database, functional PBE-GGA.

Unit cell a=10.4629 b=10.4629 c=10.4629 alpha=90.00 beta=90.00 gamma=90.00
Space group Im-3 (No. 204)
One atom of each set of equivalent atoms:
Pm: 0.0000 0.3154 0.1740 (multiplicity 24)
Nd: 0.0000 0.0000 0.0000 (multiplicity 2)
Ir: 0.2500 0.2500 0.2500 (multiplicity 8)

Properties
For the energy, the calculation gives -5.990 eV per atom.

Crystalline Pm2NdIr2 at its relaxed geometry. Source: the Alexandria database, functional PBE-GGA.

Unit cell a=4.9524 b=4.9680 c=10.5579 alpha=90.00 beta=90.02 gamma=90.00
Space group P2_1/m (No. 11)
One atom of each set of equivalent atoms:
Pm: 0.2500 0.2500 0.0008 (multiplicity 2)
Pm: 0.2496 0.2500 0.3357 (multiplicity 2)
Nd: 0.2506 0.2500 0.6671 (multiplicity 2)
Ir: 0.2495 0.7500 0.4888 (multiplicity 2)
Ir: 0.2501 0.7500 0.8419 (multiplicity 2)

Properties
The calculation puts the distance to the lowest polymorph of the same formula at 0.027 eV per atom.

Crystalline Pm3NdIr3 at its relaxed geometry. Source: the Alexandria database, functional PBE-GGA.

Unit cell a=11.0624 b=9.4852 c=7.1406 alpha=90.00 beta=105.08 gamma=90.00
Space group C2/m (No. 12)
One atom of each set of equivalent atoms:
Pm: 0.0000 0.1892 0.0000 (multiplicity 4)
Pm: 0.0000 0.2708 0.5000 (multiplicity 4)
Pm: 0.2006 0.5000 0.9920 (multiplicity 4)
Nd: 0.2206 0.0000 0.4611 (multiplicity 4)
Ir: 0.0515 0.0000 0.7153 (multiplicity 4)
Ir: 0.2363 0.2516 0.7716 (multiplicity 8)

Properties
The calculation puts the distance to the lowest polymorph of the same formula at 0.054 eV per atom.